Entry from the Alexandria database: an optimized crystal structure of KTeSe3 (PBE).

Output
Formation energy without anion corrections, eV/f.u.: 5.302
D(E_F), states/eV/cell: 7.269
Calculated density, Mg/m³: 3.6
Spin magnetization, μB/atom: 0.597

a b c (Å): 5.7233 5.7233 5.7233
angles (deg): 90.00 90.00 90.00
Closest atoms and distances in Å follow each position.
Fractional positions:
K 0.0000 0.0000 0.0000  6 Se 2.86
Te 0.5000 0.5000 0.5000  12 Se 4.05
Se 0.0000 0.0000 0.5000  2 K 2.86
Se 0.0000 0.5000 0.0000  2 K 2.86
Se 0.5000 0.0000 0.0000  2 K 2.86

---

Entry from the Alexandria database: an optimized crystal structure of KTeSe2 (PBE).

Output
Formation energy without anion corrections, eV/f.u.: -0.469
D(E_F), states/eV/cell: 3.181
Calculated density, Mg/m³: 5.1
Spin magnetization, μB/atom: 0.000

a b c (Å): 6.3150 6.3150 6.3150
angles (deg): 139.33 139.33 58.88
Closest atoms and distances in Å follow each position.
Fractional positions:
K 0.0000 0.0000 0.0000  4 Se 3.10
Te 0.7500 0.2500 0.5000  4 Se 3.10
Se 0.2500 0.7500 0.5000  4 Te 3.10
Se 0.5000 0.5000 0.0000  4 K 3.10

---

Entry from the Alexandria database: an optimized crystal structure of K2TeSe4 (PBE).

Output
Formation energy without anion corrections, eV/f.u.: -3.711
D(E_F), states/eV/cell: 0.528
Calculated density, Mg/m³: 3.5
Spin magnetization, μB/atom: 0.000

a b c (Å): 6.6734 6.9953 10.9556
angles (deg): 90.00 105.84 90.00
Closest atoms and distances in Å follow each position.
Fractional positions:
K 0.2126 0.2500 0.0174  7 Se 3.34-3.55
K 0.2255 0.7500 0.5896  9 Se 3.62-3.76
K 0.7745 0.2500 0.4104  9 Se 3.62-3.76
K 0.7874 0.7500 0.9826  7 Se 3.34-3.55
Te 0.4260 0.7500 0.2416  2 Se 2.50-2.51
Te 0.5740 0.2500 0.7584  2 Se 2.50-2.51
Se 0.1840 0.2500 0.7062  1 Te 2.51
Se 0.2404 0.0766 0.3220  1 Se 2.43
Se 0.2404 0.4234 0.3220  1 Se 2.43
Se 0.2972 0.7500 0.0048  1 Te 2.50
Se 0.7028 0.2500 0.9952  1 Te 2.50
Se 0.7596 0.5766 0.6780  1 Se 2.43
Se 0.7596 0.9234 0.6780  1 Se 2.43
Se 0.8160 0.7500 0.2938  1 Te 2.51

---

Entry from the Alexandria database: an optimized crystal structure of KTeSe2 (PBE).

Output
Formation energy without anion corrections, eV/f.u.: -1.927
D(E_F), states/eV/cell: 4.085
Calculated density, Mg/m³: 4.1
Spin magnetization, μB/atom: 0.000

a b c (Å): 6.3975 6.5934 13.5646
angles (deg): 90.00 114.28 90.00
Closest atoms and distances in Å follow each position.
Fractional positions:
K 0.1290 0.2323 0.1249  6 Se 3.23-3.45
K 0.1290 0.7677 0.6249  6 Se 3.23-3.45
K 0.8710 0.2323 0.3751  6 Se 3.23-3.45
K 0.8710 0.7677 0.8751  6 Se 3.23-3.45
Te 0.4105 0.2832 0.8796  4 Se 2.69-2.90
Te 0.4105 0.7168 0.3796  4 Se 2.69-2.90
Te 0.5895 0.2832 0.6204  4 Se 2.69-2.90
Te 0.5895 0.7168 0.1204  4 Se 2.69-2.90
Se 0.1879 0.2679 0.6490  2 Te 2.75-2.86
Se 0.1879 0.7321 0.1490  2 Te 2.75-2.86
Se 0.3949 0.2800 0.4025  2 Te 2.69-2.90
Se 0.3949 0.7200 0.9025  2 Te 2.69-2.90
Se 0.6051 0.2800 0.0975  2 Te 2.69-2.90
Se 0.6051 0.7200 0.5975  2 Te 2.69-2.90
Se 0.8121 0.2679 0.8510  2 Te 2.75-2.86
Se 0.8121 0.7321 0.3510  2 Te 2.75-2.86

---

Entry from the Alexandria database: an optimized crystal structure of K5TeSe6 (PBE).

Output
Formation energy without anion corrections, eV/f.u.: -7.505
D(E_F), states/eV/cell: 15.560
Calculated density, Mg/m³: 3.1
Spin magnetization, μB/atom: 0.115

a b c (Å): 8.0867 8.0867 7.9012
angles (deg): 100.47 100.47 119.38
Closest atoms and distances in Å follow each position.
Fractional positions:
K 0.0000 0.0000 0.0000  4 Se 3.27
K 0.1662 0.8338 0.5000  6 Se 3.33-3.40
K 0.3282 0.6718 0.0000  4 Se 3.32
K 0.6718 0.3282 0.0000  4 Se 3.32
K 0.8338 0.1662 0.5000  6 Se 3.33-3.40
Te 0.5000 0.5000 0.5000  6 Se 2.67-2.71
Se 0.1551 0.4306 0.2878  1 Te 2.71
Se 0.3032 0.3032 0.7063  1 Te 2.67
Se 0.4306 0.1551 0.2878  1 Te 2.71
Se 0.5694 0.8449 0.7122  1 Te 2.71
Se 0.6968 0.6968 0.2937  1 Te 2.67
Se 0.8449 0.5694 0.7122  1 Te 2.71

---

Entry from the Alexandria database: an optimized crystal structure of KTeSe (PBE).

Output
Energy relative to the lowest polymorph listed for this composition, meV/atom: 111
Formation energy without anion corrections, eV/f.u.: -1.518
D(E_F), states/eV/cell: 1.260
Calculated density, Mg/m³: 3.9
Spin magnetization, μB/atom: 0.000

a b c (Å): 6.6238 6.6238 6.6238
angles (deg): 143.12 143.12 53.14
Closest atoms and distances in Å follow each position.
Fractional positions:
K 0.0000 0.0000 0.0000  1 Se 3.13, 1 Te 3.31
Te 0.2792 0.2792 0.0000  4 Se 3.01, 1 K 3.31
Se 0.7356 0.7356 0.0000  4 Te 3.01, 1 K 3.13

---

Entry from the Alexandria database: an optimized crystal structure of KTeSe4 (PBE).

Output
Energy relative to the lowest polymorph listed for this composition, meV/atom: 16
Formation energy without anion corrections, eV/f.u.: -1.179
D(E_F), states/eV/cell: 2.685
Calculated density, Mg/m³: 3.7
Spin magnetization, μB/atom: 0.000

a b c (Å): 8.0703 8.0703 8.7297
angles (deg): 118.27 118.27 85.28
Closest atoms and distances in Å follow each position.
Fractional positions:
K 0.2382 0.7618 0.7500  6 Se 3.36-3.44
K 0.7618 0.2382 0.2500  6 Se 3.36-3.44
Te 0.3003 0.6997 0.2500  2 Se 2.64
Te 0.6997 0.3003 0.7500  2 Se 2.64
Se 0.0146 0.3569 0.7460  1 Se 2.40, 1 Te 2.64
Se 0.1727 0.4088 0.3062  1 Se 2.40
Se 0.3569 0.0146 0.2460  1 Se 2.40, 1 Te 2.64
Se 0.4088 0.1727 0.8062  1 Se 2.40
Se 0.5912 0.8273 0.1938  1 Se 2.40
Se 0.6431 0.9854 0.7540  1 Se 2.40, 1 Te 2.64
Se 0.8273 0.5912 0.6938  1 Se 2.40
Se 0.9854 0.6431 0.2540  1 Se 2.40, 1 Te 2.64

---

Entry from the Alexandria database: an optimized crystal structure of K2Te2Se (PBE).

Output
Energy relative to the lowest polymorph listed for this composition, meV/atom: 19
Formation energy without anion corrections, eV/f.u.: -2.901
D(E_F), states/eV/cell: 6.115
Calculated density, Mg/m³: 3.4
Spin magnetization, μB/atom: 0.000

a b c (Å): 6.4721 6.4721 6.4721
angles (deg): 115.66 115.66 97.70
Closest atoms and distances in Å follow each position.
Fractional positions:
K 0.2500 0.7500 0.5000  4 Te 3.51
K 0.7500 0.2500 0.5000  4 Te 3.51
Te 0.1729 0.1729 0.0000  1 Se 2.79, 1 Te 2.94
Te 0.8271 0.8271 0.0000  1 Se 2.79, 1 Te 2.94
Se 0.5000 0.5000 0.0000  2 Te 2.79